No. 1
This record from Alexandria describes a relaxed structure of CaY2USb4. The functional is PBE.

Computed properties:
E_form (uncorrected) ... -0.850 eV per atom
DOS at the Fermi energy ... 7.51 states/eV per cell
Symmetry ... P2/m (10)
E_tot ... -6.1879 eV per atom
Theoretical density ... 6.420 g/cm³

Structure (extended XYZ):
```
8
Lattice="7.644 0.000 0.000 0.000 4.414 0.000 -2.496 0.000 7.227" Properties=species:S:1:pos:R:3 pbc="T T T"
Ca 0.000 0.000 0.000
Y 2.574 0.000 3.614
Y 3.822 2.207 0.000
U -1.248 2.207 3.614
Sb 0.050 0.000 5.389
Sb 1.279 2.207 1.866
Sb 3.870 2.207 5.361
Sb 5.098 0.000 1.838
```

No. 2
This record from Alexandria describes a relaxed structure of Ca2ZrUSb4. The functional is PBE.

Computed properties:
E_form (uncorrected) ... -0.673 eV per atom
DOS at the Fermi energy ... 8.49 states/eV per cell
Symmetry ... P2/m (10)
E_tot ... -5.7139 eV per atom
Theoretical density ... 6.233 g/cm³

Structure (extended XYZ):
```
8
Lattice="7.493 0.000 0.000 0.000 4.343 0.000 -2.488 0.000 7.338" Properties=species:S:1:pos:R:3 pbc="T T T"
Ca 0.000 0.000 0.000
Ca 3.747 2.172 0.000
Zr -1.244 2.172 3.669
U 2.502 0.000 3.669
Sb -0.043 0.000 5.348
Sb 1.189 2.172 1.958
Sb 3.816 2.172 5.381
Sb 5.048 0.000 1.990
```

No. 3
This record from Alexandria describes a relaxed structure of CaV3Sb. The functional is PBE.

Computed properties:
E_form (uncorrected) ... 1.943 eV per atom
DOS at the Fermi energy ... 3.91 states/eV per cell
Symmetry ... Pm-3m (221)
Relative energy among the computed polymorphs ... 4.55 eV/f.u.
E_tot ... -4.7534 eV per atom
Theoretical density ... 5.675 g/cm³

Structure (extended XYZ):
```
5
Lattice="4.516 0.000 0.000 0.000 4.516 0.000 0.000 0.000 4.516" Properties=species:S:1:pos:R:3 pbc="T T T"
Ca 0.000 0.000 0.000
V 0.000 0.000 2.258
V 0.000 2.258 0.000
V 2.258 0.000 0.000
Sb 2.258 2.258 2.258
```

No. 4
This record from Alexandria describes a relaxed structure of CaVSb2. The functional is PBE.

Computed properties:
E_form (uncorrected) ... 0.044 eV per atom
DOS at the Fermi energy ... 3.42 states/eV per cell
Symmetry ... R-3m (166)
Relative energy among the computed polymorphs ... 0.89 eV/f.u.
E_tot ... -4.7974 eV per atom
Theoretical density ... 5.100 g/cm³

Structure (extended XYZ):
```
4
Lattice="1.767 1.020 10.066 -1.767 1.020 10.066 0.000 -2.041 10.066" Properties=species:S:1:pos:R:3 pbc="T T T"
Ca 0.000 0.000 0.000
V 0.000 0.000 15.100
Sb 0.000 0.000 3.192
Sb 0.000 0.000 27.007
```

No. 5
This record from Alexandria describes a relaxed structure of CaV3Sb. The functional is PBE.

Computed properties:
E_form (uncorrected) ... 1.034 eV per atom
DOS at the Fermi energy ... 6.58 states/eV per cell
Symmetry ... Pm-3m (221)
Relative energy among the computed polymorphs ... 0.00 eV/f.u.
E_tot ... -5.6624 eV per atom
Theoretical density ... 3.816 g/cm³

Structure (extended XYZ):
```
5
Lattice="5.154 0.000 0.000 0.000 5.154 0.000 0.000 0.000 5.154" Properties=species:S:1:pos:R:3 pbc="T T T"
Ca 0.000 0.000 0.000
V 0.000 2.577 2.577
V 2.577 0.000 2.577
V 2.577 2.577 0.000
Sb 2.577 2.577 2.577
```

No. 6
This record from Alexandria describes a relaxed structure of CaV2Sb. The functional is PBE.

Computed properties:
E_form (uncorrected) ... 0.755 eV per atom
DOS at the Fermi energy ... 10.09 states/eV per cell
Symmetry ... I-42d (122)
E_tot ... -5.3349 eV per atom
Theoretical density ... 4.914 g/cm³

Structure (extended XYZ):
```
8
Lattice="-3.935 3.935 2.878 3.935 -3.935 2.878 3.935 3.935 -2.878" Properties=species:S:1:pos:R:3 pbc="T T T"
Ca 0.000 0.000 0.000
Ca 0.000 3.935 1.439
V 1.967 -1.628 2.158
V 2.307 1.967 0.719
V 1.967 5.562 -0.719
V 1.628 1.967 3.597
Sb 3.935 0.000 1.439
Sb 0.000 0.000 2.878
```

No. 7
This record from Alexandria describes a relaxed structure of CaVSb2. The functional is PBE.

Computed properties:
E_form (uncorrected) ... -0.178 eV per atom
DOS at the Fermi energy ... 2.59 states/eV per cell
Symmetry ... Fm-3m (225)
Relative energy among the computed polymorphs ... 0.00 eV/f.u.
E_tot ... -5.0190 eV per atom
Theoretical density ... 5.844 g/cm³

Structure (extended XYZ):
```
4
Lattice="0.000 3.622 3.622 3.622 0.000 3.622 3.622 3.622 0.000" Properties=species:S:1:pos:R:3 pbc="T T T"
Ca 0.000 0.000 0.000
V 3.622 3.622 3.622
Sb 1.811 1.811 1.811
Sb 5.433 5.433 5.433
```

No. 8
This record from Alexandria describes a relaxed structure of CaVSb2. The functional is PBE.

Computed properties:
E_form (uncorrected) ... -0.160 eV per atom
DOS at the Fermi energy ... 7.05 states/eV per cell
Symmetry ... I-42d (122)
Relative energy among the computed polymorphs ... 0.07 eV/f.u.
E_tot ... -5.0009 eV per atom
Theoretical density ... 5.235 g/cm³

Structure (extended XYZ):
```
8
Lattice="-3.966 3.966 3.372 3.966 -3.966 3.372 3.966 3.966 -3.372" Properties=species:S:1:pos:R:3 pbc="T T T"
Ca 0.000 0.000 0.000
Ca 0.000 3.966 1.686
V 3.966 0.000 1.686
V 0.000 0.000 3.372
Sb 1.983 -1.681 2.529
Sb 2.285 1.983 0.843
Sb 1.983 5.648 -0.843
Sb 1.681 1.983 4.215
```

No. 9
This record from Alexandria describes a relaxed structure of CaV2Sb2. The functional is PBE.

Computed properties:
E_form (uncorrected) ... -0.050 eV per atom
DOS at the Fermi energy ... 6.55 states/eV per cell
Symmetry ... P4/mbm (127)
Relative energy among the computed polymorphs ... 1.05 eV/f.u.
E_tot ... -5.7467 eV per atom
Theoretical density ... 6.023 g/cm³

Structure (extended XYZ):
```
10
Lattice="7.920 0.000 0.000 0.000 7.920 0.000 0.000 0.000 3.389" Properties=species:S:1:pos:R:3 pbc="T T T"
Ca 0.000 0.000 0.000
Ca 3.960 3.960 0.000
V 0.794 3.166 0.000
V 3.166 7.126 0.000
V 4.754 0.794 0.000
V 7.126 4.754 0.000
Sb 1.391 5.351 1.694
Sb 2.568 1.391 1.694
Sb 5.351 6.528 1.694
Sb 6.528 2.568 1.694
```

No. 10
This record from Alexandria describes a relaxed structure of CaVSb3. The functional is PBE.

Computed properties:
E_form (uncorrected) ... -0.072 eV per atom
DOS at the Fermi energy ... 2.36 states/eV per cell
Symmetry ... Pm-3m (221)
Relative energy among the computed polymorphs ... 1.67 eV/f.u.
E_tot ... -4.7693 eV per atom
Theoretical density ... 5.357 g/cm³

Structure (extended XYZ):
```
5
Lattice="5.210 0.000 0.000 0.000 5.210 0.000 0.000 0.000 5.210" Properties=species:S:1:pos:R:3 pbc="T T T"
Ca 0.000 0.000 0.000
V 2.605 2.605 2.605
Sb 0.000 2.605 2.605
Sb 2.605 0.000 2.605
Sb 2.605 2.605 0.000
```

No. 11
This record from Alexandria describes a relaxed structure of CaVSb3. The functional is PBE.

Computed properties:
E_form (uncorrected) ... -0.406 eV per atom
DOS at the Fermi energy ... 11.18 states/eV per cell
Symmetry ... Pbcm (57)
Relative energy among the computed polymorphs ... 0.00 eV/f.u.
E_tot ... -5.1036 eV per atom
Theoretical density ... 6.015 g/cm³

Structure (extended XYZ):
```
20
Lattice="13.419 0.000 0.000 0.000 6.326 0.000 0.000 0.000 5.936" Properties=species:S:1:pos:R:3 pbc="T T T"
Ca 2.541 0.019 1.484
Ca 2.541 3.143 4.452
Ca 10.879 3.182 1.484
Ca 10.879 6.306 4.452
V 5.450 4.744 0.000
V 5.450 4.744 2.968
V 7.970 1.581 0.000
V 7.970 1.581 2.968
Sb 0.021 4.744 0.000
Sb 0.021 4.744 2.968
Sb 3.867 0.027 4.452
Sb 3.867 3.136 1.484
Sb 5.820 0.674 1.484
Sb 5.820 2.489 4.452
Sb 7.600 3.837 1.484
Sb 7.600 5.652 4.452
Sb 9.552 3.190 4.452
Sb 9.552 6.299 1.484
Sb 13.398 1.581 0.000
Sb 13.398 1.581 2.968
```

No. 12
This record from Alexandria describes a relaxed structure of CaVSb. The functional is PBE.

Computed properties:
E_form (uncorrected) ... -0.390 eV per atom
DOS at the Fermi energy ... 5.65 states/eV per cell
Symmetry ... P4/nmm (129)
E_tot ... -5.4711 eV per atom
Theoretical density ... 5.096 g/cm³

Structure (extended XYZ):
```
6
Lattice="4.189 0.000 0.000 0.000 4.189 0.000 0.000 0.000 7.904" Properties=species:S:1:pos:R:3 pbc="T T T"
Ca 1.047 1.047 1.263
Ca 3.141 3.141 6.641
V 1.047 3.141 3.952
V 3.141 1.047 3.952
Sb 1.047 1.047 5.745
Sb 3.141 3.141 2.159
```

No. 13
This record from Alexandria describes a relaxed structure of CaV2Sb2. The functional is PBE.

Computed properties:
E_form (uncorrected) ... -0.259 eV per atom
DOS at the Fermi energy ... 3.19 states/eV per cell
Symmetry ... I4/mmm (139)
Relative energy among the computed polymorphs ... 0.00 eV/f.u.
E_tot ... -5.9558 eV per atom
Theoretical density ... 5.717 g/cm³

Structure (extended XYZ):
```
5
Lattice="-1.983 1.983 7.120 1.983 -1.983 7.120 1.983 1.983 -7.120" Properties=species:S:1:pos:R:3 pbc="T T T"
Ca 0.000 0.000 0.000
V 1.983 0.000 3.560
V 0.000 1.983 3.560
Sb 0.000 0.000 5.383
Sb 0.000 0.000 8.858
```

No. 14
This record from Alexandria describes a relaxed structure of CaSb4W. The functional is PBE.

Computed properties:
E_form (uncorrected) ... 0.775 eV per atom
DOS at the Fermi energy ... 5.97 states/eV per cell
Symmetry ... F-43m (216)
E_tot ... -4.4653 eV per atom
Theoretical density ... 7.031 g/cm³

Structure (extended XYZ):
```
6
Lattice="0.000 4.379 4.379 4.379 0.000 4.379 4.379 4.379 0.000" Properties=species:S:1:pos:R:3 pbc="T T T"
Ca 0.000 0.000 0.000
Sb 5.472 3.285 3.285
Sb 3.285 5.472 3.285
Sb 3.285 3.285 5.472
Sb 5.472 5.472 5.472
W 2.189 2.189 2.189
```

No. 15
This record from Alexandria describes a relaxed structure of CaSb4W2. The functional is PBE.

Computed properties:
E_form (uncorrected) ... 0.998 eV per atom
DOS at the Fermi energy ... 5.75 states/eV per cell
Symmetry ... I4/mmm (139)
E_tot ... -5.3441 eV per atom
Theoretical density ... 7.070 g/cm³

Structure (extended XYZ):
```
7
Lattice="-2.731 2.731 7.043 2.731 -2.731 7.043 2.731 2.731 -7.043" Properties=species:S:1:pos:R:3 pbc="T T T"
Ca 0.000 0.000 0.000
Sb 2.731 0.000 0.000
Sb 0.000 0.000 3.179
Sb 0.000 2.731 0.000
Sb 0.000 0.000 10.906
W 0.000 0.000 5.845
W 0.000 0.000 8.240
```

No. 16
This record from Alexandria describes a relaxed structure of CaSb2W. The functional is PBE.

Computed properties:
E_form (uncorrected) ... 0.050 eV per atom
DOS at the Fermi energy ... 3.60 states/eV per cell
Symmetry ... Imm2 (44)
Relative energy among the computed polymorphs ... 0.35 eV/f.u.
E_tot ... -5.7498 eV per atom
Theoretical density ... 7.694 g/cm³

Structure (extended XYZ):
```
4
Lattice="-1.775 1.891 7.514 1.775 -1.891 7.514 1.775 1.891 -7.514" Properties=species:S:1:pos:R:3 pbc="T T T"
Ca 0.000 0.000 0.000
Sb 1.775 0.000 5.010
Sb 0.000 0.000 9.349
W 0.000 1.891 3.885
```

No. 17
This record from Alexandria describes a relaxed structure of Ca2SbW. The functional is PBE.

Computed properties:
E_form (uncorrected) ... 0.321 eV per atom
DOS at the Fermi energy ... 4.01 states/eV per cell
Symmetry ... Imm2 (44)
E_tot ... -4.9492 eV per atom
Theoretical density ... 6.201 g/cm³

Structure (extended XYZ):
```
4
Lattice="-1.878 2.609 5.269 1.878 -2.609 5.269 1.878 2.609 -5.269" Properties=species:S:1:pos:R:3 pbc="T T T"
Ca 0.000 0.000 0.000
Ca 0.000 2.609 2.250
Sb 1.878 0.000 2.742
W 0.000 0.000 4.695
```

No. 18
This record from Alexandria describes a relaxed structure of CaSbW3. The functional is PBE.

Computed properties:
E_form (uncorrected) ... 3.084 eV per atom
DOS at the Fermi energy ... 6.30 states/eV per cell
Symmetry ... Pm-3m (221)
Relative energy among the computed polymorphs ... 4.97 eV/f.u.
E_tot ... -5.9126 eV per atom
Theoretical density ... 11.271 g/cm³

Structure (extended XYZ):
```
5
Lattice="4.719 0.000 0.000 0.000 4.719 0.000 0.000 0.000 4.719" Properties=species:S:1:pos:R:3 pbc="T T T"
Ca 0.000 0.000 0.000
Sb 2.360 2.360 2.360
W 0.000 0.000 2.360
W 0.000 2.360 0.000
W 2.360 0.000 0.000
```

No. 19
This record from Alexandria describes a relaxed structure of CaSb2W. The functional is PBE.

Computed properties:
E_form (uncorrected) ... 0.397 eV per atom
DOS at the Fermi energy ... 2.68 states/eV per cell
Symmetry ... I-4m2 (119)
Relative energy among the computed polymorphs ... 1.74 eV/f.u.
E_tot ... -5.4027 eV per atom
Theoretical density ... 8.346 g/cm³

Structure (extended XYZ):
```
4
Lattice="-2.144 2.144 5.058 2.144 -2.144 5.058 2.144 2.144 -5.058" Properties=species:S:1:pos:R:3 pbc="T T T"
Ca 0.000 0.000 0.000
Sb 2.144 0.000 2.529
Sb 0.000 0.000 5.058
W 0.000 2.144 2.529
```

No. 20
This record from Alexandria describes a relaxed structure of CaSb2W. The functional is PBE.

Computed properties:
E_form (uncorrected) ... 0.335 eV per atom
DOS at the Fermi energy ... 2.89 states/eV per cell
Symmetry ... C2/m (12)
Relative energy among the computed polymorphs ... 1.49 eV/f.u.
E_tot ... -5.4646 eV per atom
Theoretical density ... 8.615 g/cm³

Structure (extended XYZ):
```
4
Lattice="3.255 -3.915 0.000 3.255 3.915 0.000 -0.662 0.000 3.536" Properties=species:S:1:pos:R:3 pbc="T T T"
Ca 0.000 0.000 0.000
Sb 1.296 1.957 1.768
Sb 1.296 -1.957 1.768
W 3.255 0.000 0.000
```